Entry 1:
SrPr3S4 | Alexandria | PBE-GGA | optimized geometry; energy above the most stable polymorph in this dataset = 0 meV per atom; crystal system = orthorhombic; raw total energy = -6.09 eV/atom
1.0
-3.731 1.043 -1.387
-2.776 -1.295 6.495
2.051 6.873 -0.352
Sr Pr S
1 3 4
Cartesian
-1.866 0.521 -0.693
1.026 3.437 -0.176
-2.228 3.310 2.378
-1.388 -0.648 3.248
-0.183 1.413 1.556
-3.431 1.274 4.085
-0.541 4.165 4.587
-1.025 5.346 0.672



Entry 2:
SrZrNbCd2 | Alexandria | PBE-GGA | optimized geometry; crystal system = tetragonal; formation enthalpy at 0 K = 1.95 eV per atom; raw total energy = -2.48 eV/atom
1.0
5.324 0.000 0.000
0.000 5.299 0.000
0.000 0.000 5.324
Sr Nb Zr Cd
1 1 1 2
Cartesian
0.000 0.000 0.000
2.662 2.650 2.662
0.000 2.650 0.000
0.000 0.000 2.662
2.662 0.000 0.000



Entry 3:
TaIr2W | Alexandria | PBE-GGA | optimized geometry; energy above the most stable polymorph in this dataset = 130 meV per atom; crystal system = monoclinic; formation enthalpy at 0 K = -0.33 eV per atom; raw total energy = -10.96 eV/atom
1.0
4.861 0.003 -0.007
4.033 2.715 -0.007
0.730 0.223 4.801
Ir Ta W
2 1 1
Cartesian
9.596 2.932 4.653
2.452 0.749 1.300
4.849 1.482 2.255
7.162 2.188 3.759



Entry 4:
InAu | Alexandria | PBE-GGA | optimized geometry; crystal system = orthorhombic; formation enthalpy at 0 K = -0.16 eV per atom; raw total energy = -3.17 eV/atom
1.0
-3.002 1.207 -2.563
-2.678 -2.259 2.073
-3.221 12.825 9.813
In Au
6 6
Cartesian
-4.712 6.400 8.533
-4.299 11.182 6.978
-2.157 2.653 0.453
-3.633 2.104 5.246
-1.436 -1.211 1.112
-4.354 5.968 4.587
-4.112 9.267 9.180
-4.899 8.315 6.331
-3.736 3.683 2.786
-2.054 1.074 2.912
-4.192 4.235 6.905
-1.597 0.522 -1.207



Entry 5:
RbSrAlH6 | Alexandria | PBE-GGA | optimized geometry; crystal system = trigonal; raw total energy = -3.20 eV/atom
1.0
5.685 0.000 0.000
2.842 4.923 0.000
0.000 0.000 5.543
Rb Sr Al H
1 1 1 6
Cartesian
8.527 4.923 0.000
5.684 3.282 2.771
2.842 1.641 2.771
1.407 1.697 1.736
2.173 0.370 3.807
4.277 1.697 3.807
2.076 2.856 3.807
3.608 2.856 1.736
3.511 0.370 1.736



Entry 6:
Dy8TmSc2 | Alexandria | PBE-GGA | optimized geometry; energy above the most stable polymorph in this dataset = 0 meV per atom; crystal system = orthorhombic; formation enthalpy at 0 K = 0.12 eV per atom; raw total energy = -4.78 eV/atom
1.0
-2.507 -4.519 1.359
7.047 -3.040 2.891
-3.837 6.733 4.801
Dy Tm Sc
8 1 2
Cartesian
3.263 -3.560 4.688
0.318 1.491 5.546
-0.505 0.952 2.233
-4.230 1.301 7.028
1.207 -1.779 6.819
0.384 -2.318 3.506
-2.561 2.733 4.364
4.932 -2.128 2.023
-1.254 -2.260 0.680
2.890 -0.328 4.242
-2.188 -0.499 4.810



Entry 7:
Pm4NiRh2 | Alexandria | PBE-GGA | optimized geometry; energy above the most stable polymorph in this dataset = 0 meV per atom; crystal system = monoclinic; formation enthalpy at 0 K = -0.51 eV per atom; raw total energy = -6.16 eV/atom
1.0
6.935 -0.182 -1.946
1.428 6.788 -1.949
-0.047 -0.034 7.489
Pm Ni Rh
8 2 4
Cartesian
0.950 0.753 5.743
5.178 4.091 0.136
1.024 0.810 2.096
4.558 0.750 5.769
1.782 4.263 5.768
5.150 4.070 3.827
1.899 4.311 1.993
4.633 0.851 1.994
7.031 5.554 -1.831
6.998 5.529 1.994
2.926 2.313 3.985
2.830 2.236 0.084
6.912 2.668 1.967
4.194 6.108 1.965



Entry 8:
Y2Ag2Bi | Alexandria | PBE-GGA | optimized geometry; energy above the most stable polymorph in this dataset = 168 meV per atom; crystal system = tetragonal; formation enthalpy at 0 K = -0.25 eV per atom; raw total energy = -4.76 eV/atom
1.0
8.441 0.000 0.000
0.000 8.441 0.000
0.000 0.000 3.746
Y Bi Ag
4 2 4
Cartesian
2.809 7.030 0.000
7.030 5.632 0.000
5.632 1.411 0.000
1.411 2.809 0.000
0.000 0.000 0.000
4.221 4.221 0.000
1.045 5.265 1.873
5.265 7.397 1.873
7.397 3.176 1.873
3.176 1.045 1.873



Entry 9:
U2Fe4Ge2C | Alexandria | PBE-GGA | optimized geometry; crystal system = tetragonal; formation enthalpy at 0 K = 0.12 eV per atom; raw total energy = -8.20 eV/atom
1.0
5.682 -0.008 -0.012
-2.735 4.981 0.012
-2.735 -1.739 4.668
U Fe Ge C
2 4 2 1
Cartesian
-3.932 2.330 3.364
-1.538 0.911 1.315
-2.735 3.278 1.191
-1.281 2.417 3.488
-2.735 -0.037 3.488
1.494 0.817 1.180
0.107 3.297 1.170
0.107 -0.063 3.498
0.000 0.000 0.000



Entry 10:
TaSiW | Alexandria | PBE-GGA | optimized geometry; crystal system = trigonal; raw total energy = -10.09 eV/atom
1.0
-4.165 -1.607 0.624
2.241 -0.958 -3.792
1.047 -2.253 1.188
Si Ta W
1 1 1
Cartesian
0.863 -1.857 0.979
-1.634 -2.242 -0.399
0.941 -2.972 -1.372



Entry 11:
Mg2Zn4Ir | Alexandria | PBE-GGA | optimized geometry; energy above the most stable polymorph in this dataset = 315 meV per atom; crystal system = tetragonal; formation enthalpy at 0 K = 0.16 eV per atom; raw total energy = -2.29 eV/atom
1.0
4.824 0.000 0.000
0.000 4.824 0.000
2.412 2.412 6.736
Zn Ir Mg
4 1 2
Cartesian
2.412 2.412 4.269
4.824 4.824 2.467
0.000 2.412 0.000
2.412 0.000 0.000
0.000 0.000 0.000
2.412 2.412 1.608
4.824 4.824 5.128



Entry 12:
Ac6HoPb10 | Alexandria | PBE-GGA | optimized geometry; crystal system = trigonal; formation enthalpy at 0 K = -0.40 eV per atom; raw total energy = -4.30 eV/atom
1.0
-1.442 -5.859 -3.247
9.759 -1.486 -1.654
-4.264 -3.563 8.324
Ac Ho Pb
6 1 10
Cartesian
1.082 -6.300 0.210
-3.663 -6.497 2.674
4.880 -5.231 -3.405
2.970 -4.608 3.214
-2.044 -2.925 2.404
3.437 -2.113 -1.496
-0.721 -2.929 -1.623
3.015 -8.572 2.453
-2.185 -5.583 -0.630
1.170 -5.086 -3.017
1.037 -2.336 0.971
-3.522 -3.839 5.708
7.146 -2.259 -1.883
-0.311 -5.800 3.375
4.363 -5.108 0.049
5.084 -2.178 1.672
0.410 -2.871 4.998



Entry 13:
LiScIn | Alexandria | PBE-GGA | optimized geometry; crystal system = trigonal; formation enthalpy at 0 K = -0.09 eV per atom; raw total energy = -3.76 eV/atom
1.0
-3.367 -1.956 -1.292
-0.385 -3.085 2.677
-2.910 1.334 2.566
Li In Sc
1 1 1
Cartesian
-4.782 -2.662 2.836
-0.141 -0.079 0.084
-2.492 -1.387 1.478



Entry 14:
TlZnGa2Hg | Alexandria | PBE-GGA | optimized geometry; crystal system = tetragonal; formation enthalpy at 0 K = 0.19 eV per atom; raw total energy = -1.81 eV/atom
1.0
-0.853 3.518 3.329
-3.940 1.462 -2.555
-3.064 -3.383 2.791
Zn Tl Hg Ga
1 1 1 2
Cartesian
0.000 0.000 0.000
-3.929 0.799 1.782
-1.532 -1.692 1.395
-1.970 0.731 -1.277
-0.426 1.759 1.665



Entry 15:
K6UBr12 | Alexandria | PBE-GGA | optimized geometry; crystal system = trigonal; raw total energy = -3.44 eV/atom
1.0
9.400 1.018 -1.671
-2.155 9.206 -1.671
0.722 1.018 9.520
K U Br
6 1 12
Cartesian
1.229 4.248 5.028
5.674 4.952 6.239
2.201 8.675 3.942
6.738 6.995 1.150
2.292 6.291 -0.061
5.766 2.567 2.236
0.000 0.000 0.000
3.943 2.556 4.922
0.506 6.271 2.594
5.042 4.567 -0.156
4.023 8.687 1.256
7.461 4.972 3.584
2.925 6.675 6.334
-1.481 9.615 5.261
0.491 9.453 -1.774
0.462 3.596 8.922
9.448 1.628 0.917
7.476 1.789 7.952
7.505 7.646 -2.744



Entry 16:
SrRuW2 | Alexandria | PBE-GGA | optimized geometry; energy above the most stable polymorph in this dataset = 0 meV per atom; crystal system = tetragonal; formation enthalpy at 0 K = 0.66 eV per atom; raw total energy = -8.55 eV/atom
1.0
3.003 0.010 0.000
-0.015 3.003 0.000
0.000 0.000 8.665
Ru Sr W
1 1 2
Cartesian
0.000 0.000 3.853
1.494 1.507 6.321
0.000 0.000 0.436
1.494 1.507 2.388